Computed, not measured: crystalline AcThGa2 at its relaxed geometry at the GGA-PBE level of DFT.

Unit cell a=3.8449 b=3.8449 c=7.4688 alpha=90.00 beta=90.00 gamma=90.00
Last column: nearest neighbours and their distance in Å.
Atoms (fractional coordinates):
Ac 0.0000 0.0000 0.0000  8 Ga 3.39, 2 Th 3.73
Th 0.0000 0.0000 0.5000  8 Ga 3.21
Ga 0.5000 0.5000 0.2703  4 Th 3.21, 4 Ac 3.39, 1 Ga 3.43
Ga 0.5000 0.5000 0.7297  4 Th 3.21, 4 Ac 3.39, 1 Ga 3.43

Output
Energy of formation from the pure elements, kJ per mole of atoms: -37.3
V, Å³/cell: 110.41
Theoretical density, kg/m³: 9001